(1)
The following is a PBE calculation of a relaxed structure of MgSnMoW2, from the Alexandria database.

POSCAR file:
```
MgSnMoW2
1.0
-0.920 -0.281 -4.712
4.999 -0.776 -0.930
-0.660 -4.746 0.412
Mg Mo Sn W
1 1 1 2
Cartesian
1.709 -2.901 -2.615
0.000 0.000 0.000
2.500 -0.388 -0.465
-0.330 -2.373 0.206
-0.460 -0.140 -2.356
```

Computed properties:
space group: P4/mmm (123)
energy relative to the lowest polymorph listed for this composition: 0.000 eV/atom

***

(2)
The following is a PBE calculation of a relaxed structure of CrTcPb2, from the Alexandria database.

POSCAR file:
```
CrTcPb2
1.0
-3.451 -1.267 -4.411
2.285 -1.157 -5.139
0.726 -1.591 5.469
Cr Pb Tc
1 2 1
Cartesian
-1.654 -2.035 -1.858
0.000 0.000 0.000
1.213 -1.980 -2.222
-0.583 -1.212 -4.775
```

Computed properties:
space group: I-4m2 (119)
energy relative to the lowest polymorph listed for this composition: 0.462 eV/atom

***

(3)
The following is a PBE calculation of a relaxed structure of CoIr2C, from the Alexandria database.

POSCAR file:
```
CoIr2C
1.0
-3.210 -2.759 -3.036
1.445 -4.368 2.442
-4.152 -2.999 2.647
C Ir Co
2 4 2
Cartesian
-0.883 -3.564 -0.297
-1.795 -5.466 2.396
-2.653 -2.840 -0.731
-0.747 -4.006 1.610
-3.681 -5.209 1.923
-4.753 -8.200 1.306
0.000 0.000 0.000
-4.122 -4.661 -0.343
```

Computed properties:
space group: I-42d (122)

***

(4)
The following is a PBE calculation of a relaxed structure of Be2PPb, from the Alexandria database.

POSCAR file:
```
Be2PPb
1.0
3.444 -0.045 0.000
-1.629 3.034 0.000
0.000 0.000 7.000
Pb P Be
1 1 2
Cartesian
0.907 1.494 5.250
0.907 1.494 1.750
0.000 0.000 0.557
0.000 0.000 2.943
```

Computed properties:
space group: Cmmm (65)
energy relative to the lowest polymorph listed for this composition: 0.349 eV/atom

***

no.,formation energy (meV per atom)
1,1587
2,788
3,779
4,495